Arrangement A

Computed, not measured: a relaxed structure of Ta2H2Rh at the PBE-GGA level of DFT.

Properties
magnetic moment	0.0	μB/f.u.
calculated volume	11.44	Å³ per atom

Cell: 2.9462 2.9462 6.5914 Å, 90.00 90.00 90.00°
Closest atoms and distances in Å follow each position.
Positions (direct):
Rh 0.0000 0.0000 0.0000  8 Ta 2.80, 4 Rh 2.95
H 0.5000 0.0000 0.5000  4 Ta 2.05, 4 H 2.08
H 0.0000 0.5000 0.5000  4 Ta 2.05, 4 H 2.08
Ta 0.5000 0.5000 0.7167  4 H 2.05
Ta 0.5000 0.5000 0.2833  4 H 2.05


Arrangement B

Computed, not measured: a relaxed structure of Ta2H2Rh at the PBE-GGA level of DFT.

Properties
magnetic moment	0.0	μB/f.u.
calculated volume	10.95	Å³ per atom

Cell: 5.2999 5.1697 5.7616 Å, 72.41 53.90 59.16°
Closest atoms and distances in Å follow each position.
Positions (direct):
H 0.3878 0.8117 0.0039  4 Ta 1.96-2.06
H 0.3004 0.8116 0.4961  4 Ta 1.96-2.06
H 0.6122 0.1883 0.9961  4 Ta 1.96-2.06
H 0.6996 0.1884 0.5039  4 Ta 1.96-2.06
Ta 0.5127 0.4747 0.2500  4 H 1.98-2.05
Ta 0.4873 0.5253 0.7500  4 H 1.98-2.05
Ta 0.8368 0.8264 0.7500  4 H 1.96-2.06
Ta 0.1632 0.1736 0.2500  4 H 1.96-2.06
Rh 0.8456 0.8089 0.2500  4 H 2.33-2.35
Rh 0.1544 0.1911 0.7500  4 H 2.33-2.35


Arrangement C

Computed, not measured: a relaxed structure of Ta2H2Rh at the PBE-GGA level of DFT.

Properties
magnetic moment	0.0	μB/f.u.
calculated volume	11.01	Å³ per atom

Cell: 2.9323 2.9323 6.7292 Å, 77.42 77.42 90.00°
Closest atoms and distances in Å follow each position.
Positions (direct):
Ta 0.6474 0.6474 0.7052  4 H 1.97
Ta 0.3526 0.3526 0.2948  4 H 1.97
Rh 0.0000 0.0000 0.0000  8 Ta 2.80, 4 Rh 2.93
H 0.2500 0.7500 0.5000  4 Ta 1.97, 4 H 2.07
H 0.7500 0.2500 0.5000  4 Ta 1.97, 4 H 2.07


The most stable arrangement is arrangement C, and the next structure is 87 meV/atom less stable.


Arrangement A

Computed, not measured: a relaxed structure of TaV2HRh at the PBE-GGA level of DFT.

Properties
magnetic moment	0.0	μB/f.u.
calculated volume	12.34	Å³ per atom

Cell: 3.7989 3.7989 4.2748 Å, 90.00 90.00 90.00°
Closest atoms and distances in Å follow each position.
Positions (direct):
H 0.0000 0.0000 0.0000  4 V 1.90
Ta 0.0000 0.0000 0.5000  2 H 2.14
V 0.5000 0.0000 0.0000  2 H 1.90
V 0.0000 0.5000 0.0000  2 H 1.90
Rh 0.5000 0.5000 0.5000  4 Ta 2.69, 8 V 2.86


Arrangement B

Computed, not measured: a relaxed structure of TaV2HRh at the PBE-GGA level of DFT.

Properties
magnetic moment	0.0	μB/f.u.
calculated volume	12.34	Å³ per atom

Cell: 3.7678 3.7678 4.3478 Å, 90.00 90.00 90.00°
Closest atoms and distances in Å follow each position.
Positions (direct):
V 0.5000 0.0000 0.0000  2 H 1.88
V 0.0000 0.5000 0.0000  2 H 1.88
Rh 0.0000 0.0000 0.5000  2 H 2.17
Ta 0.5000 0.5000 0.5000  4 Rh 2.66, 8 V 2.88
H 0.0000 0.0000 0.0000  4 V 1.88


The most stable arrangement is arrangement A, and the next structure is 32 meV/atom less stable.


Arrangement A

Computed, not measured: a relaxed structure of TaVHRh2 at the PBE-GGA level of DFT.

Properties
magnetic moment	0.0	μB/f.u.
calculated volume	12.23	Å³ per atom

Cell: 3.9234 3.9234 3.9741 Å, 90.00 90.00 90.00°
Closest atoms and distances in Å follow each position.
Positions (direct):
Rh 0.0000 0.5000 0.0000  2 H 1.96
Rh 0.5000 0.0000 0.0000  2 H 1.96
V 0.0000 0.0000 0.5000  2 H 1.99
Ta 0.5000 0.5000 0.5000  4 V 2.77, 8 Rh 2.79
H 0.0000 0.0000 0.0000  4 Rh 1.96, 2 V 1.99


Arrangement B

Computed, not measured: a relaxed structure of TaVHRh2 at the PBE-GGA level of DFT.

Properties
magnetic moment	0.0	μB/f.u.
calculated volume	12.34	Å³ per atom

Cell: 3.9061 3.9061 4.0454 Å, 90.00 90.00 90.00°
Closest atoms and distances in Å follow each position.
Positions (direct):
Rh 0.5000 0.0000 0.0000  2 H 1.95
Rh 0.0000 0.5000 0.0000  2 H 1.95
H 0.0000 0.0000 0.0000  4 Rh 1.95, 2 Ta 2.02
V 0.5000 0.5000 0.5000  4 Ta 2.76, 8 Rh 2.81
Ta 0.0000 0.0000 0.5000  2 H 2.02


The most stable arrangement is arrangement A, and the next structure is 66 meV/atom less stable.


Arrangement A

Computed, not measured: a relaxed structure of Ta2HRhW at the PBE-GGA level of DFT.

Properties
magnetic moment	0.0	μB/f.u.
calculated volume	13.81	Å³ per atom

Cell: 4.3078 4.3078 3.7218 Å, 90.00 90.00 90.00°
Closest atoms and distances in Å follow each position.
Positions (direct):
H 0.0000 0.0000 0.0000  2 W 1.86
Ta 0.5000 0.0000 0.0000  2 H 2.15
Ta 0.0000 0.5000 0.0000  2 H 2.15
W 0.0000 0.0000 0.5000  2 H 1.86
Rh 0.5000 0.5000 0.5000  8 Ta 2.85, 4 W 3.05


Arrangement B

Computed, not measured: a relaxed structure of Ta2HRhW at the PBE-GGA level of DFT.

Properties
magnetic moment	0.0	μB/f.u.
calculated volume	13.80	Å³ per atom

Cell: 4.4318 4.4318 3.5119 Å, 90.00 90.00 90.00°
Closest atoms and distances in Å follow each position.
Positions (direct):
Rh 0.0000 0.0000 0.5000  2 H 1.76
W 0.5000 0.5000 0.5000  8 Ta 2.83, 4 Rh 3.13
Ta 0.5000 0.0000 0.0000  2 H 2.22
Ta 0.0000 0.5000 0.0000  2 H 2.22
H 0.0000 0.0000 0.0000  2 Rh 1.76


The most stable arrangement is arrangement B, and the next structure is 75 meV/atom less stable.


Arrangement A

Computed, not measured: a relaxed structure of Zr2TaHRh at the PBE-GGA level of DFT.

Properties
magnetic moment	0.0	μB/f.u.
calculated volume	15.79	Å³ per atom

Cell: 4.6473 4.6473 3.6545 Å, 90.00 90.00 90.00°
Closest atoms and distances in Å follow each position.
Positions (direct):
Ta 0.0000 0.0000 0.5000  2 H 1.83
H 0.0000 0.0000 0.0000  2 Ta 1.83
Zr 0.5000 0.0000 0.0000  2 H 2.32
Zr 0.0000 0.5000 0.0000  2 H 2.32
Rh 0.5000 0.5000 0.5000  8 Zr 2.96, 4 Ta 3.29


Arrangement B

Computed, not measured: a relaxed structure of Zr2TaHRh at the PBE-GGA level of DFT.

Properties
magnetic moment	0.0	μB/f.u.
calculated volume	15.76	Å³ per atom

Cell: 4.7122 4.7122 3.5486 Å, 90.00 90.00 90.00°
Closest atoms and distances in Å follow each position.
Positions (direct):
Zr 0.0000 0.5000 0.0000  2 H 2.36
Zr 0.5000 0.0000 0.0000  2 H 2.36
Rh 0.0000 0.0000 0.5000  2 H 1.77
H 0.0000 0.0000 0.0000  2 Rh 1.77
Ta 0.5000 0.5000 0.5000  8 Zr 2.95


The most stable arrangement is arrangement A, and the next structure is 10 meV/atom less stable.


Arrangement A

Computed, not measured: a relaxed structure of TbH6Rh2 at the PBE-GGA level of DFT.

Properties
magnetic moment	0.0	μB/f.u.
calculated volume	9.23	Å³ per atom

Cell: 3.6643 4.4546 6.0171 Å, 71.32 72.27 65.71°
Closest atoms and distances in Å follow each position.
Positions (direct):
H 0.7080 0.7098 0.8743  2 Rh 1.83
H 0.9959 0.1536 0.8546  2 Rh 1.70-1.78, 1 H 1.84
H 0.0041 0.8464 0.1454  2 Rh 1.70-1.78, 1 H 1.84
H 0.6896 0.1833 0.4374  1 Rh 1.68
H 0.3104 0.8167 0.5626  1 Rh 1.68
H 0.2920 0.2902 0.1257  2 Rh 1.83
Rh 0.7980 0.2672 0.1368  5 H 1.68-1.83
Rh 0.2020 0.7328 0.8632  5 H 1.68-1.83
Tb 0.0000 0.5000 0.5000  6 H 2.20-2.31


Arrangement B

Computed, not measured: a relaxed structure of TbH6Rh2 at the PBE-GGA level of DFT.

Properties
magnetic moment	0.0	μB/f.u.
calculated volume	9.09	Å³ per atom

Cell: 3.9897 3.9897 5.8203 Å, 70.62 70.62 90.03°
Closest atoms and distances in Å follow each position.
Positions (direct):
Tb 0.5000 0.0000 0.0000  8 H 2.19-2.20
H 0.7394 0.2394 0.4997  4 Rh 1.96-2.03
H 0.0875 0.1041 0.8219  1 Rh 1.65, 1 H 1.84
H 0.9125 0.8959 0.1781  1 Rh 1.65, 1 H 1.84
H 0.3959 0.4125 0.1781  1 Rh 1.65, 1 H 1.84
H 0.6041 0.5875 0.8219  1 Rh 1.65, 1 H 1.84
H 0.2606 0.7606 0.5003  4 Rh 1.96-2.03
Rh 0.7524 0.7476 0.5000  2 H 1.65
Rh 0.2476 0.2524 0.5000  2 H 1.65


The most stable arrangement is arrangement B, and the next structure is 76 meV/atom less stable.


Arrangement A

Computed, not measured: a relaxed structure of Tb2HRh at the PBE-GGA level of DFT.

Properties
magnetic moment	0.0	μB/f.u.
calculated volume	20.14	Å³ per atom

Cell: 3.6599 3.6599 7.2584 Å, 75.40 75.40 60.00°
Closest atoms and distances in Å follow each position.
Positions (direct):
Rh 0.6679 0.6679 0.9962  6 Tb 2.75-2.76
H 0.4956 0.4956 0.5131  6 Tb 2.64-2.79
Tb 0.2499 0.2499 0.2504  3 Rh 2.75, 3 H 2.79
Tb 0.0865 0.0865 0.7404  3 H 2.64, 3 Rh 2.76


Arrangement B

Computed, not measured: a relaxed structure of Tb2HRh at the PBE-GGA level of DFT.

Properties
magnetic moment	0.0	μB/f.u.
calculated volume	19.91	Å³ per atom

Cell: 3.7049 6.8262 7.1256 Å, 112.90 105.08 89.97°
Closest atoms and distances in Å follow each position.
Positions (direct):
Rh 0.9484 0.8502 0.4717  7 Tb 2.83-3.01, 1 Rh 3.00
Rh 0.7124 0.7093 0.9992  7 Tb 2.83-3.01, 1 Rh 3.00
Tb 0.3173 0.5229 0.2093  2 H 2.21-2.26
Tb 0.3436 0.0366 0.2616  2 H 2.21-2.26
Tb 0.0443 0.5244 0.6636  2 H 2.30
Tb 0.6166 0.0353 0.8074  2 H 2.30
H 0.4409 0.3843 0.4565  4 Tb 2.21-2.30
H 0.2199 0.1752 0.0144  4 Tb 2.21-2.30


The most stable arrangement is arrangement B, and the next structure is 243 meV/atom less stable.


Arrangement A

Computed, not measured: a relaxed structure of Tb2HRh at the PBE-GGA level of DFT.

Properties
magnetic moment	0.0	μB/f.u.
calculated volume	26.10	Å³ per atom

Cell: 4.0864 4.0864 7.5957 Å, 74.40 74.40 60.00°
Closest atoms and distances in Å follow each position.
Positions (direct):
Tb 0.9003 0.9003 0.2992  1 H 2.16
Tb 0.0997 0.0997 0.7008  1 H 2.16
H 0.0000 0.0000 0.0000  2 Tb 2.16
Rh 0.5000 0.5000 0.5000  6 Tb 2.77


Arrangement B

Computed, not measured: a relaxed structure of Tb2HRh at the PBE-GGA level of DFT.

Properties
magnetic moment	0.0	μB/f.u.
calculated volume	18.72	Å³ per atom

Cell: 3.2566 3.2566 7.0590 Å, 90.00 90.00 90.00°
Closest atoms and distances in Å follow each position.
Positions (direct):
Tb 0.0000 0.0000 0.2469  4 H 2.89, 4 Rh 2.91
Tb 0.0000 0.0000 0.7531  4 H 2.89, 4 Rh 2.91
Rh 0.5000 0.5000 0.5000  8 Tb 2.91, 4 Rh 3.26
H 0.5000 0.5000 0.0000  8 Tb 2.89


The most stable arrangement is arrangement A, and the next structure is 96 meV/atom less stable.


Arrangement A

Computed, not measured: a relaxed structure of TbH2Rh at the PBE-GGA level of DFT.

Properties
magnetic moment	0.0	μB/f.u.
calculated volume	13.12	Å³ per atom

Cell: 3.9323 3.9323 4.5295 Å, 64.27 64.27 60.00°
Closest atoms and distances in Å follow each position.
Positions (direct):
H 0.8578 0.8578 0.4266  1 Rh 1.67
H 0.1422 0.1422 0.5734  1 Rh 1.67
Tb 0.5000 0.5000 0.5000  6 H 2.29
Rh 0.0000 0.0000 0.0000  2 H 1.67


Arrangement B

Computed, not measured: a relaxed structure of TbH2Rh at the PBE-GGA level of DFT.

Properties
magnetic moment	0.0	μB/f.u.
calculated volume	11.67	Å³ per atom

Cell: 3.7018 3.4762 5.0252 Å, 133.79 90.00 90.00°
Closest atoms and distances in Å follow each position.
Positions (direct):
Rh 0.0605 0.5964 0.4723  4 H 1.81-1.85
H 0.0606 0.0960 0.9723  2 Rh 1.81
H 0.5605 0.5965 0.4724  2 Rh 1.85
Tb 0.5606 0.5963 0.9724  8 H 2.51-2.54


The most stable arrangement is arrangement B, and the next structure is 114 meV/atom less stable.


Arrangement A

Computed, not measured: a relaxed structure of Tc2HRh at the PBE-GGA level of DFT.

Properties
magnetic moment	0.0	μB/f.u.
calculated volume	12.12	Å³ per atom

Cell: 2.7801 2.7801 7.4184 Å, 79.20 79.20 60.00°
Closest atoms and distances in Å follow each position.
Positions (direct):
Rh 0.0000 0.0000 0.0000  2 Tc 2.53, 6 Rh 2.78
Tc 0.1166 0.1166 0.6502  3 H 1.94
Tc 0.8834 0.8834 0.3498  3 H 1.94
H 0.5000 0.5000 0.5000  6 Tc 1.94


Arrangement B

Computed, not measured: a relaxed structure of Tc2HRh at the PBE-GGA level of DFT.

Properties
magnetic moment	0.0	μB/f.u.
calculated volume	11.78	Å³ per atom

Cell: 6.1035 6.1035 5.0028 Å, 52.41 52.41 90.00°
Closest atoms and distances in Å follow each position.
Positions (direct):
Rh 0.7500 0.2500 0.5000  2 H 2.53, 8 Tc 2.61-2.68
Rh 0.0000 0.0000 0.0000  2 H 2.53, 8 Tc 2.61-2.68
H 0.2500 0.7500 0.5000  4 Tc 1.90
H 0.5000 0.5000 0.0000  4 Tc 1.90
Tc 0.8750 0.7795 0.7500  2 H 1.90
Tc 0.2205 0.6250 0.2500  2 H 1.90
Tc 0.5295 0.1250 0.2500  2 H 1.90
Tc 0.3750 0.4705 0.7500  2 H 1.90


Arrangement C

Computed, not measured: a relaxed structure of Tc2HRh at the PBE-GGA level of DFT.

Properties
magnetic moment	0.0	μB/f.u.
calculated volume	11.28	Å³ per atom

Cell: 2.7969 2.7969 6.8535 Å, 78.23 78.23 60.00°
Closest atoms and distances in Å follow each position.
Positions (direct):
H 0.6670 0.6670 0.9990  6 Tc 1.97-1.98
Rh 0.4981 0.4981 0.5058  6 Tc 2.69-2.77, 6 Rh 2.80
Tc 0.2775 0.2775 0.1674  3 H 1.97
Tc 0.0574 0.0574 0.8278  3 H 1.98


Arrangement D

Computed, not measured: a relaxed structure of Tc2HRh at the PBE-GGA level of DFT.

Properties
magnetic moment	0.0	μB/f.u.
calculated volume	12.82	Å³ per atom

Cell: 4.1701 4.1701 4.1701 Å, 60.00 60.00 60.00°
Closest atoms and distances in Å follow each position.
Positions (direct):
Rh 0.5000 0.5000 0.5000  8 Tc 2.55
Tc 0.2500 0.2500 0.2500  4 H 2.55, 4 Rh 2.55
Tc 0.7500 0.7500 0.7500  4 H 2.55, 4 Rh 2.55
H 0.0000 0.0000 0.0000  8 Tc 2.55


The most stable arrangement is arrangement C, and the next structure is 269 meV/atom less stable.


Arrangement A

Computed, not measured: a relaxed structure of TcHRh3 at the PBE-GGA level of DFT.

Properties
magnetic moment	0.9	μB/f.u.
calculated volume	20.39	Å³ per atom

Cell: 4.6719 4.6719 4.6719 Å, 90.00 90.00 90.00°
Closest atoms and distances in Å follow each position.
Positions (direct):
Tc 0.0000 0.0000 0.0000  6 Rh 2.34
Rh 0.0000 0.5000 0.0000  2 Tc 2.34
Rh 0.5000 0.0000 0.0000  2 Tc 2.34
Rh 0.0000 0.0000 0.5000  2 Tc 2.34
H 0.5000 0.5000 0.5000  12 Rh 3.30


Arrangement B

Computed, not measured: a relaxed structure of TcHRh3 at the PBE-GGA level of DFT.

Properties
magnetic moment	0.0	μB/f.u.
calculated volume	11.87	Å³ per atom

Cell: 3.9002 3.9002 3.9002 Å, 90.00 90.00 90.00°
Closest atoms and distances in Å follow each position.
Positions (direct):
Tc 0.5000 0.5000 0.5000  12 Rh 2.76
Rh 0.0000 0.5000 0.0000  2 H 1.95
Rh 0.0000 0.0000 0.5000  2 H 1.95
Rh 0.5000 0.0000 0.0000  2 H 1.95
H 0.0000 0.0000 0.0000  6 Rh 1.95


The most stable arrangement is arrangement B, and the next structure is 1720 meV/atom less stable.


Arrangement A

Computed, not measured: a relaxed structure of TcH3Rh at the PBE-GGA level of DFT.

Properties
magnetic moment	0.0	μB/f.u.
calculated volume	7.76	Å³ per atom

Cell: 3.3861 3.3861 3.3861 Å, 90.00 90.00 90.00°
Closest atoms and distances in Å follow each position.
Positions (direct):
Tc 0.5000 0.5000 0.5000  12 H 2.39
H 0.5000 0.0000 0.0000  2 Rh 1.69
H 0.0000 0.0000 0.5000  2 Rh 1.69
H 0.0000 0.5000 0.0000  2 Rh 1.69
Rh 0.0000 0.0000 0.0000  6 H 1.69


Arrangement B

Computed, not measured: a relaxed structure of TcH3Rh at the PBE-GGA level of DFT.

Properties
magnetic moment	0.0	μB/f.u.
calculated volume	7.96	Å³ per atom

Cell: 3.4139 3.4139 3.4139 Å, 90.00 90.00 90.00°
Closest atoms and distances in Å follow each position.
Positions (direct):
H 0.0000 0.5000 0.0000  2 Tc 1.71
H 0.0000 0.0000 0.5000  2 Tc 1.71
H 0.5000 0.0000 0.0000  2 Tc 1.71
Rh 0.5000 0.5000 0.5000  12 H 2.41
Tc 0.0000 0.0000 0.0000  6 H 1.71


The most stable arrangement is arrangement A, and the next structure is 69 meV/atom less stable.